Record 1
A plane-wave DFT calculation with PBE was carried out for an optimized crystal structure of Y2HoZr.

Summary:
The calculation puts the energy above the most stable polymorph in this dataset at 0.000 eV/f.u. For the density, the calculation gives 6166 kg/m3. The value obtained for the energy relative to the elements is 0.08 eV per atom. The volume comes out at 29.2 Å³/atom. The calculation puts the electronic total energy at -25.72 eV for the cell shown. The total magnetization is 0.00 μB per formula unit.

a = 3.4732 Å, b = 3.4732 Å, c = 11.3661 Å
α = 81.21°, β = 81.21°, γ = 60.00°
Closest atoms and distances in Å follow each position.
Element x y z (fractional)
1 Y 0.0790 0.0790 0.7631  3 Zr 3.33, 6 Y 3.47, 3 Ho 3.57
2 Y 0.2543 0.2543 0.2371  3 Zr 3.32, 6 Y 3.47, 3 Ho 3.55
3 Ho 0.5003 0.5003 0.4992  6 Ho 3.47, 6 Y 3.55-3.57
4 Zr 0.6665 0.6665 0.0006  6 Y 3.32-3.33, 6 Zr 3.47

Record 2
A plane-wave DFT calculation with PBE was carried out for an optimized crystal structure of Sb2HBr.

Summary:
The calculation puts the energy above the most stable polymorph in this dataset at 0.000 eV/f.u. For the density, the calculation gives 5434 kg/m3. The volume comes out at 24.8 Å³/atom. The calculation puts the electronic total energy at -23.22 eV for the cell shown. The total magnetization is 0.00 μB per formula unit.

a = 6.1806 Å, b = 6.1806 Å, c = 6.7858 Å
α = 62.91°, β = 62.91°, γ = 90.00°
Closest atoms and distances in Å follow each position.
Element x y z (fractional)
1 Sb 0.4827 0.1250 0.2500  2 H 2.12
2 Sb 0.2673 0.6250 0.2500  2 H 2.12
3 Sb 0.3750 0.5173 0.7500  2 H 2.12
4 Sb 0.8750 0.7327 0.7500  2 H 2.12
5 Br 0.0000 0.0000 0.0000  4 Sb 3.15
6 Br 0.7500 0.2500 0.5000  4 Sb 3.15
7 H 0.5000 0.5000 0.0000  4 Sb 2.12
8 H 0.2500 0.7500 0.5000  4 Sb 2.12

Record 3
A plane-wave DFT calculation with PBE was carried out for an optimized crystal structure of LaTcP2.

Summary:
The calculation puts the energy above the most stable polymorph in this dataset at 1.180 eV/f.u. For the density, the calculation gives 6491 kg/m3. The value obtained for the energy relative to the elements is -0.62 eV per atom. The volume comes out at 19.1 Å³/atom. The calculation puts the electronic total energy at -28.58 eV for the cell shown. The total magnetization is 0.00 μB per formula unit.

a = 7.1455 Å, b = 7.1455 Å, c = 7.1455 Å
α = 153.97°, β = 151.43°, γ = 39.04°
Closest atoms and distances in Å follow each position.
Element x y z (fractional)
1 La 0.2991 0.7991 0.5000  6 P 2.89-2.96, 2 La 3.22
2 P 0.9757 0.9757 0.0000  4 Tc 2.58
3 P 0.6777 0.1777 0.5000  2 Tc 2.38
4 Tc 0.5475 0.5475 0.0000  6 P 2.38-2.58

Record 4
A plane-wave DFT calculation with PBE was carried out for an optimized crystal structure of Tb2Fe2BC2.

Summary:
For the density, the calculation gives 8509 kg/m3. The value obtained for the energy relative to the elements is -0.21 eV per atom. The volume comes out at 12.9 Å³/atom. The calculation puts the electronic total energy at -52.77 eV for the cell shown. The total magnetization is 0.00 μB per formula unit.

a = 3.4711 Å, b = 5.3623 Å, c = 5.6403 Å
α = 69.19°, β = 72.08°, γ = 71.12°
Closest atoms and distances in Å follow each position.
Element x y z (fractional)
1 Tb 0.5722 0.1936 0.6620  2 B 2.50, 1 C 2.73
2 Tb 0.4278 0.8064 0.3380  2 B 2.50, 1 C 2.73
3 Fe 0.2072 0.6738 0.9117  1 B 1.85, 3 C 1.94-1.98
4 Fe 0.7928 0.3262 0.0883  1 B 1.85, 3 C 1.94-1.98
5 B 0.0000 0.0000 0.0000  2 Fe 1.85
6 C 0.1988 0.3660 0.2364  3 Fe 1.94-1.98
7 C 0.8012 0.6340 0.7636  3 Fe 1.94-1.98

Record 5
A plane-wave DFT calculation with PBE was carried out for an optimized crystal structure of AcMgTlAg.

Summary:
For the density, the calculation gives 8439 kg/m3. The value obtained for the energy relative to the elements is -0.25 eV per atom. The volume comes out at 27.7 Å³/atom. The calculation puts the electronic total energy at -11.93 eV for the cell shown. The total magnetization is 0.00 μB per formula unit.

a = 5.3927 Å, b = 5.3927 Å, c = 5.3927 Å
α = 60.00°, β = 60.00°, γ = 60.00°
Closest atoms and distances in Å follow each position.
Element x y z (fractional)
1 Mg 0.5000 0.5000 0.5000  4 Tl 3.30, 4 Ag 3.30
2 Ac 0.0000 0.0000 0.0000  4 Tl 3.30, 4 Ag 3.30
3 Tl 0.7500 0.7500 0.7500  4 Mg 3.30, 4 Ac 3.30
4 Ag 0.2500 0.2500 0.2500  4 Mg 3.30, 4 Ac 3.30

Record 6
A plane-wave DFT calculation with PBE was carried out for an optimized crystal structure of Er3Tm3Co2.

Summary:
For the density, the calculation gives 9040 kg/m3. The value obtained for the energy relative to the elements is -0.09 eV per atom. The volume comes out at 25.9 Å³/atom. The calculation puts the electronic total energy at -84.13 eV for the cell shown. The total magnetization is 0.00 μB per formula unit.

a = 3.5768 Å, b = 6.7152 Å, c = 17.8749 Å
α = 90.00°, β = 90.00°, γ = 105.45°
Closest atoms and distances in Å follow each position.
Element x y z (fractional)
1 Er 0.9349 0.8698 0.4131  2 Co 2.67
2 Er 0.0651 0.1302 0.9131  2 Co 2.67
3 Er 0.9349 0.8698 0.0869  2 Co 2.67
4 Er 0.0651 0.1302 0.5869  2 Co 2.67
5 Er 0.7270 0.4540 0.2500  4 Co 2.80
6 Er 0.2730 0.5460 0.7500  4 Co 2.80
7 Tm 0.6767 0.3533 0.4351  2 Co 2.79
8 Tm 0.3233 0.6467 0.9351  2 Co 2.79
9 Tm 0.6767 0.3533 0.0649  2 Co 2.79
10 Tm 0.3233 0.6467 0.5649  2 Co 2.79
11 Tm 0.4511 0.9021 0.2500  2 Co 2.72
12 Tm 0.5489 0.0979 0.7500  2 Co 2.72
13 Co 0.6976 0.3952 0.8575  4 Er 2.67-2.80, 3 Tm 2.72-2.79
14 Co 0.3024 0.6048 0.3575  4 Er 2.67-2.80, 3 Tm 2.72-2.79
15 Co 0.6976 0.3952 0.6425  4 Er 2.67-2.80, 3 Tm 2.72-2.79
16 Co 0.3024 0.6048 0.1425  4 Er 2.67-2.80, 3 Tm 2.72-2.79